1.
The following is a DFT calculation (PBE) of a relaxed BaRh4Pb crystal.

## Properties
- Energy: -5.803 eV/atom
- V: 19.6 Å³/atom
- Magnetization: 0.39 μB per cell

Unit cell a=5.503 b=5.503 c=5.503 alpha=60.00 beta=60.00 gamma=60.00
Positions (direct):
Ba: 0.000 0.000 0.000
Rh: 0.376 0.376 0.376
Rh: 0.376 0.376 0.871
Rh: 0.376 0.871 0.376
Rh: 0.871 0.376 0.376
Pb: 0.750 0.750 0.750

2.
The following is a DFT calculation (PBE) of a relaxed MgInW crystal.

## Properties
- Offset from the most stable computed form: 715.8 meV/atom
- V: 23.7 Å³/atom
- Magnetization: 1.90 μB per cell

Unit cell a=4.648 b=4.648 c=4.648 alpha=60.00 beta=60.00 gamma=60.00
Positions (direct):
Mg: 0.000 0.000 0.000
In: 0.500 0.500 0.500
W: 0.250 0.250 0.250

3.
The following is a DFT calculation (PBE) of a relaxed TbPm2PuN4 crystal.

## Properties
- V: 15.7 Å³/atom
- Magnetization: 4.62 μB per cell
- Raw formation energy: -1.45 eV per atom

Unit cell a=6.114 b=3.549 c=6.132 alpha=90.00 beta=109.27 gamma=90.00
Positions (direct):
Tb: 0.000 0.000 0.000
Pm: 0.000 0.500 0.500
Pm: 0.500 0.000 0.500
Pu: 0.500 0.500 0.000
N: 0.253 0.500 0.236
N: 0.262 0.000 0.769
N: 0.738 0.000 0.231
N: 0.747 0.500 0.764

4.
The following is a DFT calculation (PBE) of a relaxed AlRe2Sn crystal.

## Properties
- Offset from the most stable computed form: 0.0 meV/atom
- V: 15.9 Å³/atom
- Magnetization: 0.00 μB per cell

Unit cell a=4.484 b=4.484 c=4.484 alpha=60.00 beta=60.00 gamma=60.00
Positions (direct):
Al: 0.000 0.000 0.000
Re: 0.250 0.250 0.250
Re: 0.750 0.750 0.750
Sn: 0.500 0.500 0.500